Entry 1:
Material: Pr7Ir3
Method: DFT, PBE
State: optimized geometry

The structure in POSCAR format:
```
Pr7Ir3
1.0
10.2319 0.0000 0.0000
-5.1160 8.8611 0.0000
0.0000 0.0000 6.4382
Pr Ir
14 6
Cartesian
0.0000 5.9074 3.0354 Pr
5.1160 2.9537 6.2545 Pr
-3.1814 7.7442 1.5794 Pr
3.1814 7.7442 1.5794 Pr
0.0000 2.2338 1.5794 Pr
8.2974 1.1169 4.7985 Pr
1.9346 1.1169 4.7985 Pr
5.1160 6.6273 4.7985 Pr
3.1604 4.0828 2.8296 Pr
7.0715 4.0828 2.8296 Pr
5.1160 0.6956 2.8296 Pr
1.9556 4.7783 6.0487 Pr
-1.9556 4.7783 6.0487 Pr
0.0000 8.1655 6.0487 Pr
7.3476 1.6653 1.2344 Ir
2.8844 1.6653 1.2344 Ir
5.1160 5.5305 1.2344 Ir
-2.2316 7.1958 4.4535 Ir
2.2316 7.1958 4.4535 Ir
0.0000 3.3306 4.4535 Ir
```

Calculated values
total energy	-6.50	eV/atom
calculated density	8.9	g/cm3
formation enthalpy at 0 K	-0.49	eV per atom

=====

Entry 2:
Material: Pr13Ir2
Method: DFT, PBE
State: optimized geometry

The structure in POSCAR format:
```
Pr13Ir2
1.0
6.8447 -0.1588 0.3621
-1.0683 8.3387 -0.1787
-0.1386 -4.3310 8.9463
Pr Ir
13 2
Cartesian
4.6017 4.6628 0.5464 Pr
1.0361 -0.8139 8.5833 Pr
0.0000 0.0000 0.0000 Pr
0.0191 5.4217 5.5203 Pr
5.6187 -1.5729 3.6095 Pr
-0.5300 1.1281 5.8937 Pr
6.1678 2.7207 3.2361 Pr
2.7080 3.5962 4.0846 Pr
2.9298 0.2526 5.0452 Pr
2.3139 2.6594 7.6512 Pr
3.3239 1.1894 1.4785 Pr
4.5455 -2.3059 7.1228 Pr
1.0923 6.1547 2.0070 Pr
4.6925 3.4119 6.2038 Ir
0.9453 0.4369 2.9259 Ir
```

Calculated values
total energy	-5.47	eV/atom
calculated density	7.3	g/cm3
formation enthalpy at 0 K	-0.14	eV per atom

=====

Entry 3:
Material: PrIr4
Method: DFT, PBE
State: optimized geometry

The structure in POSCAR format:
```
PrIr4
1.0
-4.8586 0.3184 -0.9744
-0.5023 -4.8540 0.9186
-0.8937 0.9973 4.7816
Pr Ir
1 4
Cartesian
-3.1273 -1.7691 2.3629 Pr
0.0000 0.0000 0.0000 Ir
-2.8761 0.6579 1.9036 Ir
-0.6980 -1.9283 2.8501 Ir
-2.6805 -2.2678 -0.0279 Ir
```

Calculated values
total energy	-5.24	eV/atom
calculated density	12.3	g/cm3
formation enthalpy at 0 K	2.81	eV per atom

=====

Entry 4:
Material: Pr3Ir2
Method: DFT, PBE
State: optimized geometry

The structure in POSCAR format:
```
Pr3Ir2
1.0
4.2145 0.0000 0.0000
0.0000 7.9235 0.0000
0.0000 0.0000 16.1498
Pr Ir
12 8
Cartesian
3.1609 7.7197 6.3913 Pr
3.1609 3.7579 1.6836 Pr
1.0536 0.2038 9.7585 Pr
1.0536 4.1656 14.4662 Pr
3.1609 6.6605 12.5758 Pr
3.1609 2.6987 11.6488 Pr
1.0536 1.2631 3.5739 Pr
1.0536 5.2248 4.5009 Pr
3.1609 5.0176 9.1210 Pr
3.1609 1.0559 15.1036 Pr
1.0536 2.9059 7.0288 Pr
1.0536 6.8677 1.0461 Pr
3.1609 1.9085 8.7482 Ir
3.1609 5.8703 15.4764 Ir
1.0536 6.0150 7.4016 Ir
1.0536 2.0533 0.6733 Ir
3.1609 6.8469 3.3016 Ir
3.1609 2.8851 4.7733 Ir
1.0536 1.0766 12.8481 Ir
1.0536 5.0384 11.3765 Ir
```

Calculated values
total energy	-6.97	eV/atom
calculated density	9.9	g/cm3
ΔE to the lowest computed polymorph	0.000	eV per atom
formation enthalpy at 0 K	-0.55	eV per atom

=====

Entry 5:
Material: Pr5Ir2
Method: DFT, PBE
State: optimized geometry

The structure in POSCAR format:
```
Pr5Ir2
1.0
-2.3913 2.3142 8.4569
2.6827 -2.1182 8.4208
4.8468 5.5422 0.7457
Pr Ir
10 4
Cartesian
6.5672 3.4386 7.5413 Pr
4.9756 1.5930 10.4266 Pr
-1.4289 2.2997 10.0821 Pr
0.1627 4.1452 7.1968 Pr
3.6792 4.8960 5.3848 Pr
3.1609 4.2437 12.6166 Pr
1.4591 0.8422 12.2386 Pr
1.9774 1.4945 5.0068 Pr
3.4271 4.5636 9.0006 Pr
1.7111 1.1746 8.6228 Pr
3.9560 2.3608 6.9768 Ir
5.6973 4.3213 11.0045 Ir
1.1823 3.3774 10.6466 Ir
-0.5590 1.4169 6.6189 Ir
```

Calculated values
total energy	-6.43	eV/atom
calculated density	8.7	g/cm3
formation enthalpy at 0 K	-0.48	eV per atom

=====

Entry 6:
Material: PrIr6
Method: DFT, PBE
State: optimized geometry

The structure in POSCAR format:
```
PrIr6
1.0
5.9141 0.0000 0.0000
-1.9714 5.5759 0.0000
-1.9714 -2.7880 4.8289
Pr Ir
1 6
Cartesian
0.0000 0.0000 0.0000 Pr
-0.9857 2.7880 2.4144 Ir
0.9857 3.4849 1.2072 Ir
-0.9857 0.6970 3.6217 Ir
2.9571 0.0000 2.4144 Ir
0.9857 -0.6970 3.6217 Ir
2.9571 2.0910 1.2072 Ir
```

Calculated values
total energy	-7.96	eV/atom
calculated density	13.5	g/cm3
formation enthalpy at 0 K	0.32	eV per atom

=====

Entry 7:
Material: Pr3Ir2
Method: DFT, PBE
State: optimized geometry

The structure in POSCAR format:
```
Pr3Ir2
1.0
7.2229 0.0000 0.0000
3.6115 6.2552 0.0000
3.6115 2.0851 6.5127
Pr Ir
6 4
Cartesian
6.0845 6.2552 4.8845 Pr
9.5979 4.1135 4.8845 Pr
5.9864 2.1417 4.8845 Pr
4.8480 4.2268 1.6282 Pr
8.4595 6.1986 1.6282 Pr
8.3614 2.0851 1.6282 Pr
10.8344 6.2552 3.3513 Ir
3.6115 2.0851 0.0949 Ir
3.6115 2.0851 3.1614 Ir
10.8344 6.2552 6.4178 Ir
```

Calculated values
total energy	-6.93	eV/atom
calculated density	9.1	g/cm3
ΔE to the lowest computed polymorph	0.033	eV per atom
formation enthalpy at 0 K	-0.52	eV per atom

=====

Entry 8:
Material: Pr3Ir2
Method: DFT, PBE
State: optimized geometry

The structure in POSCAR format:
```
Pr3Ir2
1.0
-0.2881 -0.8793 -4.3185
2.4182 -8.1341 3.7532
-10.7531 -1.2535 0.9726
Pr Ir
9 6
Cartesian
0.8946 -6.0823 -1.0797 Pr
-9.5176 -4.1846 1.4869 Pr
-2.9016 -5.9403 -0.8553 Pr
-5.7213 -4.3266 1.2626 Pr
-2.4615 -2.4870 0.6706 Pr
-6.1614 -7.7799 -0.2633 Pr
-1.5456 -8.3863 1.8106 Pr
-7.0774 -1.8805 -1.4034 Pr
-0.1440 -0.4396 -2.1593 Pr
-4.5390 -3.4112 -1.2610 Ir
-4.0840 -6.8556 1.6683 Ir
-0.7879 -3.6745 -1.4577 Ir
-7.8351 -6.5923 1.8649 Ir
0.1051 -8.7242 -0.4891 Ir
-8.7281 -1.5427 0.8963 Ir
```

Calculated values
total energy	-6.94	eV/atom
calculated density	9.4	g/cm3
ΔE to the lowest computed polymorph	0.023	eV per atom
formation enthalpy at 0 K	-0.53	eV per atom